# PBE Pr12Tm5Sc, relaxed
# * energy of formation from the pure elements: 0.04 eV per atom
# * M_tot: 0.0 μB per formula unit
data_Pr12Tm5Sc
_cell_length_a 10.874
_cell_length_b 10.874
_cell_length_c 5.162
_cell_angle_alpha 90.00
_cell_angle_beta 90.00
_cell_angle_gamma 90.74
_symmetry_space_group_name_H-M 'P 1'
_symmetry_Int_Tables_number 1
_symmetry_space_group_name_Hall 'P 1'
loop_
_atom_site_label
_atom_site_type_symbol
_atom_site_fract_x
_atom_site_fract_y
_atom_site_fract_z
Pr1 Pr 0.003 0.672 0.500
Pr2 Pr 0.161 0.161 0.000
Pr3 Pr 0.169 0.502 0.000
Pr4 Pr 0.328 0.997 0.500
Pr5 Pr 0.335 0.335 0.500
Pr6 Pr 0.498 0.831 0.000
Pr7 Pr 0.502 0.169 0.000
Pr8 Pr 0.665 0.665 0.500
Pr9 Pr 0.672 0.003 0.500
Pr10 Pr 0.831 0.498 0.000
Pr11 Pr 0.839 0.839 0.000
Pr12 Pr 0.997 0.328 0.500
Tm1 Tm 0.166 0.834 0.000
Tm2 Tm 0.334 0.666 0.500
Tm3 Tm 0.500 0.500 0.000
Tm4 Tm 0.666 0.334 0.500
Tm5 Tm 0.834 0.166 0.000
Sc1 Sc 0.000 0.000 0.500


# PBE Y2PaRh4, relaxed
# * energy of formation from the pure elements: -0.62 eV per atom
# * M_tot: 0.0 μB per formula unit
data_Y2PaRh4
_cell_length_a 4.504
_cell_length_b 4.504
_cell_length_c 14.221
_cell_angle_alpha 90.00
_cell_angle_beta 90.00
_cell_angle_gamma 90.00
_symmetry_space_group_name_H-M 'P 1'
_symmetry_Int_Tables_number 1
_symmetry_space_group_name_Hall 'P 1'
loop_
_atom_site_label
_atom_site_type_symbol
_atom_site_fract_x
_atom_site_fract_y
_atom_site_fract_z
Y1 Y 0.000 0.000 0.238
Y2 Y 0.000 0.000 0.762
Y3 Y 0.500 0.500 0.262
Y4 Y 0.500 0.500 0.738
Pa1 Pa 0.000 0.000 0.500
Pa2 Pa 0.500 0.500 0.000
Rh1 Rh 0.000 0.500 0.111
Rh2 Rh 0.000 0.500 0.389
Rh3 Rh 0.000 0.500 0.611
Rh4 Rh 0.000 0.500 0.889
Rh5 Rh 0.500 0.000 0.111
Rh6 Rh 0.500 0.000 0.389
Rh7 Rh 0.500 0.000 0.611
Rh8 Rh 0.500 0.000 0.889